The following is a DFT calculation (GGA-PBE) of a geometry-optimized NdYZnIr structure.

It has space group F-43m (No. 216), with a = 7.105 Å, b = 7.105 Å, c = 7.105 Å, α = 90.00°, β = 90.00° and γ = 90.00°. The distinct sites, in fractional coordinates, are Nd at (0.000, 0.000, 0.000), Y at (0.000, 0.000, 0.500), Zn at (0.250, 0.250, 0.750) and Ir at (0.250, 0.250, 0.250).

The value obtained for the formation enthalpy at 0 K is -0.54 eV per atom. For the theoretical density, the calculation gives 9.1 g/cm3. The value obtained for the energy above the most stable polymorph in this dataset is 0.011 eV/atom. The raw total energy is -94.1 eV per cell.

The following is a DFT calculation (GGA-PBE) of a geometry-optimized NdYZnIr structure.

It has space group Amm2 (No. 38), with a = 4.412 Å, b = 3.961 Å, c = 10.808 Å, α = 90.00°, β = 90.00° and γ = 90.00°. The distinct sites, in fractional coordinates, are Nd at (0.000, 0.000, 0.000), Y at (0.500, 0.000, 0.281), Zn at (0.500, 0.000, 0.574) and Ir at (0.000, 0.000, 0.713).

The value obtained for the formation enthalpy at 0 K is -0.55 eV per atom. For the theoretical density, the calculation gives 8.6 g/cm3. The value obtained for the energy above the most stable polymorph in this dataset is 0.000 eV/atom. The raw total energy is -47.1 eV per cell.

The following is a DFT calculation (GGA-PBE) of a geometry-optimized NdZn12Ir4 structure.

It has space group Im-3 (No. 204), with a = 8.715 Å, b = 8.715 Å, c = 8.715 Å, α = 90.00°, β = 90.00° and γ = 90.00°. The distinct sites, in fractional coordinates, are Nd at (0.000, 0.000, 0.000), Zn at (0.000, 0.351, 0.162) and Ir at (0.250, 0.250, 0.250).

The value obtained for the formation enthalpy at 0 K is 0.14 eV per atom. For the theoretical density, the calculation gives 8.5 g/cm3. The raw total energy is -106.1 eV per cell.

The following is a DFT calculation (GGA-PBE) of a geometry-optimized Nd4ZnIr structure.

It has space group I4_1md (No. 109), with a = 9.653 Å, b = 9.653 Å, c = 8.828 Å, α = 90.00°, β = 90.00° and γ = 90.00°. The distinct sites, in fractional coordinates, are Nd at (0.000, 0.195, 0.000), Nd at (0.000, 0.200, 0.469), Zn at (0.000, 0.000, 0.738) and Ir at (0.000, 0.000, 0.235).

The value obtained for the formation enthalpy at 0 K is -0.17 eV per atom. For the theoretical density, the calculation gives 6.7 g/cm3. The value obtained for the energy above the most stable polymorph in this dataset is 0.230 eV/atom. The raw total energy is -120.8 eV per cell.

The following is a DFT calculation (GGA-PBE) of a geometry-optimized Nd5Zn5Ir2 structure.

It has space group C2/m (No. 12), with a = 15.817 Å, b = 4.333 Å, c = 11.499 Å, α = 90.00°, β = 133.10° and γ = 90.00°. The distinct sites, in fractional coordinates, are Nd at (0.000, 0.000, 0.000), Nd at (0.119, 0.000, 0.415), Nd at (0.196, 0.000, 0.818), Zn at (0.000, 0.500, 0.500), Zn at (0.057, 0.500, 0.843), Zn at (0.234, 0.500, 0.677) and Ir at (0.152, 0.500, 0.260).

The value obtained for the formation enthalpy at 0 K is -0.43 eV per atom. For the theoretical density, the calculation gives 8.3 g/cm3. The raw total energy is -106.1 eV per cell.

The following is a DFT calculation (GGA-PBE) of a geometry-optimized Nd4ZnIr3 structure.

It has space group Pmm2 (No. 25), with a = 4.023 Å, b = 4.386 Å, c = 10.900 Å, α = 90.00°, β = 90.00° and γ = 90.00°. The distinct sites, in fractional coordinates, are Nd at (0.000, 0.000, 0.000), Nd at (0.000, 0.500, 0.273), Nd at (0.500, 0.000, 0.482), Nd at (0.500, 0.500, 0.775), Zn at (0.000, 0.000, 0.699), Ir at (0.000, 0.500, 0.566), Ir at (0.500, 0.000, 0.215) and Ir at (0.500, 0.500, 0.047).

The value obtained for the formation enthalpy at 0 K is -0.58 eV per atom. For the theoretical density, the calculation gives 10.5 g/cm3. The raw total energy is -51.5 eV per cell.

The following is a DFT calculation (GGA-PBE) of a geometry-optimized NdZn3Ir2 structure.

It has space group Cmcm (No. 63), with a = 9.139 Å, b = 8.305 Å, c = 5.724 Å, α = 90.00°, β = 90.00° and γ = 90.00°. The distinct sites, in fractional coordinates, are Nd at (0.000, 0.149, 0.250), Zn at (0.000, 0.478, 0.750), Zn at (0.178, 0.236, 0.750) and Ir at (0.235, 0.500, 0.000).

The value obtained for the formation enthalpy at 0 K is -0.41 eV per atom. For the theoretical density, the calculation gives 11.1 g/cm3. The raw total energy is -115.1 eV per cell.

The following is a DFT calculation (GGA-PBE) of a geometry-optimized NdZnIr structure.

It has space group Pnma (No. 62), with a = 7.139 Å, b = 4.194 Å, c = 8.211 Å, α = 90.00°, β = 90.00° and γ = 90.00°. The distinct sites, in fractional coordinates, are Nd at (0.030, 0.250, 0.188), Zn at (0.146, 0.250, 0.568) and Ir at (0.235, 0.750, 0.385).

The value obtained for the formation enthalpy at 0 K is -0.60 eV per atom. For the theoretical density, the calculation gives 10.9 g/cm3. The raw total energy is -66.8 eV per cell.

The following is a DFT calculation (GGA-PBE) of a geometry-optimized Nd2Zn7Ir structure.

It has space group P-4m2 (No. 115), with a = 4.227 Å, b = 4.227 Å, c = 10.600 Å, α = 90.00°, β = 90.00° and γ = 90.00°. The distinct sites, in fractional coordinates, are Nd at (0.000, 0.500, 0.242), Zn at (0.000, 0.000, 0.000), Zn at (0.000, 0.000, 0.500), Zn at (0.000, 0.500, 0.633), Zn at (0.000, 0.500, 0.866), Zn at (0.500, 0.500, 0.500) and Ir at (0.500, 0.500, 0.000).

The value obtained for the formation enthalpy at 0 K is -0.31 eV per atom. For the theoretical density, the calculation gives 8.2 g/cm3. The raw total energy is -30.4 eV per cell.

The following is a DFT calculation (GGA-PBE) of a geometry-optimized NdZnIr structure.

It has space group P-6m2 (No. 187), with a = 4.3720 Å, b = 4.3720 Å, c = 3.8718 Å, α = 90.00°, β = 90.00° and γ = 120.00°. The distinct sites, in fractional coordinates, are Nd at (0.0000, 0.0000, 0.0000), Zn at (0.3333, 0.6667, 0.5000) and Ir at (0.6667, 0.3333, 0.5000).

The value obtained for the formation enthalpy at 0 K is -0.51 eV per atom. For the theoretical density, the calculation gives 10.4 g/cm3. The raw total energy is -16.4 eV per cell.

The following is a DFT calculation (GGA-PBE) of a geometry-optimized NdZn8Ir4 structure.

It has space group I4/mmm (No. 139), with a = 8.664 Å, b = 8.664 Å, c = 5.616 Å, α = 90.00°, β = 90.00° and γ = 90.00°. The distinct sites, in fractional coordinates, are Nd at (0.000, 0.000, 0.000), Zn at (0.000, 0.227, 0.500), Zn at (0.000, 0.340, 0.000) and Ir at (0.250, 0.250, 0.250).

The value obtained for the formation enthalpy at 0 K is -0.32 eV per atom. For the theoretical density, the calculation gives 11.3 g/cm3. The raw total energy is -109.2 eV per cell.

The following is a DFT calculation (GGA-PBE) of a geometry-optimized Nd3Zn3Ir structure.

It has space group C2/m (No. 12), with a = 11.136 Å, b = 4.002 Å, c = 15.581 Å, α = 90.00°, β = 105.82° and γ = 90.00°. The distinct sites, in fractional coordinates, are Nd at (0.021, 0.000, 0.387), Nd at (0.124, 0.000, 0.923), Nd at (0.234, 0.000, 0.239), Zn at (0.017, 0.500, 0.228), Zn at (0.095, 0.500, 0.076), Zn at (0.169, 0.500, 0.535) and Ir at (0.216, 0.500, 0.370).

The value obtained for the formation enthalpy at 0 K is -0.41 eV per atom. For the theoretical density, the calculation gives 8.2 g/cm3. The raw total energy is -119.4 eV per cell.

The following is a DFT calculation (GGA-PBE) of a geometry-optimized Nd3Zn7Ir4 structure.

It has space group C2/m (No. 12), with a = 15.704 Å, b = 4.254 Å, c = 9.673 Å, α = 90.00°, β = 125.28° and γ = 90.00°. The distinct sites, in fractional coordinates, are Nd at (0.000, 0.000, 0.000), Nd at (0.199, 0.500, 0.711), Zn at (0.000, 0.000, 0.500), Zn at (0.009, 0.500, 0.293), Zn at (0.152, 0.000, 0.421), Zn at (0.177, 0.500, 0.018), Ir at (0.109, 0.000, 0.819) and Ir at (0.165, 0.500, 0.278).

The value obtained for the formation enthalpy at 0 K is -0.45 eV per atom. For the theoretical density, the calculation gives 10.4 g/cm3. The raw total energy is -129.8 eV per cell.

The following is a DFT calculation (GGA-PBE) of a geometry-optimized NdZn2Ir structure.

It has space group R-3m (No. 166, hexagonal axes), with a = 4.3099 Å, b = 4.3099 Å, c = 14.9851 Å, α = 90.00°, β = 90.00° and γ = 120.00°. The distinct sites, in fractional coordinates, are Nd at (0.0000, 0.0000, 0.0000), Zn at (0.0000, 0.0000, 0.2088) and Ir at (0.0000, 0.0000, 0.5000).

The value obtained for the formation enthalpy at 0 K is -0.35 eV per atom. For the theoretical density, the calculation gives 9.7 g/cm3. The raw total energy is -52.7 eV per cell.

The following is a DFT calculation (GGA-PBE) of a geometry-optimized NdZn6Ir2 structure.

It has space group Immm (No. 71), with a = 4.398 Å, b = 5.953 Å, c = 11.851 Å, α = 90.00°, β = 90.00° and γ = 90.00°. The distinct sites, in fractional coordinates, are Nd at (0.000, 0.000, 0.000), Zn at (0.000, 0.195, 0.500), Zn at (0.000, 0.242, 0.297) and Ir at (0.000, 0.500, 0.117).

The value obtained for the formation enthalpy at 0 K is -0.16 eV per atom. For the theoretical density, the calculation gives 9.9 g/cm3. The raw total energy is -63.2 eV per cell.

The following is a DFT calculation (GGA-PBE) of a geometry-optimized NdZn10Ir2 structure.

It has space group Fmmm (No. 69), with a = 5.479 Å, b = 12.422 Å, c = 12.492 Å, α = 90.00°, β = 90.00° and γ = 90.00°. The distinct sites, in fractional coordinates, are Nd at (0.000, 0.000, 0.000), Zn at (0.000, 0.110, 0.390), Zn at (0.000, 0.180, 0.170), Zn at (0.250, 0.000, 0.250) and Ir at (0.250, 0.250, 0.000).

The value obtained for the formation enthalpy at 0 K is -0.22 eV per atom. For the theoretical density, the calculation gives 9.2 g/cm3. The raw total energy is -152.1 eV per cell.

The following is a DFT calculation (GGA-PBE) of a geometry-optimized NdZn3Ir2 structure.

It has space group R-3m (No. 166, hexagonal axes), with a = 5.8687 Å, b = 5.8687 Å, c = 21.5532 Å, α = 90.00°, β = 90.00° and γ = 120.00°. The distinct sites, in fractional coordinates, are Nd at (0.0000, 0.0000, 0.2182), Zn at (0.0112, 0.5056, 0.2392), Ir at (0.0000, 0.0000, 0.0000) and Ir at (0.0000, 0.5000, 0.0000).

The value obtained for the formation enthalpy at 0 K is -0.12 eV per atom. For the theoretical density, the calculation gives 11.2 g/cm3. The raw total energy is -162.3 eV per cell.

The following is a DFT calculation (GGA-PBE) of a geometry-optimized NdZn11Ir structure.

It has space group C2/m (No. 12), with a = 5.153 Å, b = 12.823 Å, c = 6.824 Å, α = 90.00°, β = 111.65° and γ = 90.00°. The distinct sites, in fractional coordinates, are Nd at (0.000, 0.000, 0.000), Zn at (0.000, 0.500, 0.500), Zn at (0.110, 0.390, 0.219), Zn at (0.160, 0.175, 0.357), Zn at (0.250, 0.250, 0.000) and Ir at (0.000, 0.000, 0.500).

The value obtained for the formation enthalpy at 0 K is -0.23 eV per atom. For the theoretical density, the calculation gives 8.4 g/cm3. The raw total energy is -61.3 eV per cell.

The following is a DFT calculation (GGA-PBE) of a geometry-optimized NdZn2Ir structure.

It has space group Pnma (No. 62), with a = 15.520 Å, b = 7.308 Å, c = 5.524 Å, α = 90.00°, β = 90.00° and γ = 90.00°. The distinct sites, in fractional coordinates, are Nd at (0.099, 0.250, 0.231), Nd at (0.141, 0.750, 0.460), Zn at (0.041, 0.061, 0.748), Zn at (0.210, 0.551, 0.938), Ir at (0.071, 0.750, 0.989) and Ir at (0.188, 0.250, 0.698).

The value obtained for the formation enthalpy at 0 K is -0.47 eV per atom. For the theoretical density, the calculation gives 9.9 g/cm3. The raw total energy is -144.5 eV per cell.

The following is a DFT calculation (GGA-PBE) of a geometry-optimized Nd2Zn3Ir structure.

It has space group Fmmm (No. 69), with a = 7.550 Å, b = 8.952 Å, c = 15.299 Å, α = 90.00°, β = 90.00° and γ = 90.00°. The distinct sites, in fractional coordinates, are Nd at (0.241, 0.000, 0.000), Nd at (0.250, 0.250, 0.250), Zn at (0.000, 0.000, 0.332), Zn at (0.000, 0.248, 0.417) and Ir at (0.000, 0.000, 0.162).

The value obtained for the formation enthalpy at 0 K is -0.45 eV per atom. For the theoretical density, the calculation gives 8.7 g/cm3. The raw total energy is -199.3 eV per cell.

Number 1: M_tot 0.00 μB/cell. Number 2: M_tot 0.00 μB/cell. Number 3: M_tot 0.00 μB/cell. Number 4: M_tot 0.00 μB/cell. Number 5: M_tot 0.00 μB/cell. Number 6: M_tot 0.00 μB/cell. Number 7: M_tot 0.00 μB/cell. Number 8: M_tot 0.00 μB/cell. Number 9: M_tot 0.00 μB/cell. Number 10: M_tot 0.00 μB/cell. Number 11: M_tot 0.00 μB/cell. Number 12: M_tot 0.00 μB/cell. Number 13: M_tot 0.00 μB/cell. Number 14: M_tot 0.00 μB/cell. Number 15: M_tot 0.00 μB/cell. Number 16: M_tot 0.00 μB/cell. Number 17: M_tot 0.00 μB/cell. Number 18: M_tot 0.00 μB/cell. Number 19: M_tot 0.00 μB/cell. Number 20: M_tot 0.00 μB/cell.